Record 1
Below is a geometry-optimized LaPmI structure, with properties calculated at the GGA-PBE level.

Unit cell a=6.1849 b=10.2398 c=7.5570 alpha=68.20 beta=90.00 gamma=90.00
Closest atoms and distances in Å follow each position.
Atoms (fractional coordinates):
I1 0.2501 0.4046 0.1723  4 La 3.27-3.44, 1 Pm 3.39
I2 0.7501 0.5954 0.3277  4 La 3.27-3.44, 1 Pm 3.39
I3 0.2499 0.4046 0.6723  4 La 3.27-3.44, 1 Pm 3.39
I4 0.7499 0.5954 0.8277  4 La 3.27-3.44, 1 Pm 3.39
La1 0.2501 0.7065 0.2703  4 I 3.27-3.44
La2 0.7501 0.2935 0.2297  4 I 3.27-3.44
La3 0.7499 0.2935 0.7297  4 I 3.27-3.44
La4 0.2499 0.7065 0.7703  4 I 3.27-3.44
Pm1 0.7499 0.9516 0.6503  1 I 3.39, 6 Pm 3.73-3.78, 2 La 3.75-3.77
Pm2 0.2499 0.0484 0.8497  1 I 3.39, 6 Pm 3.73-3.78, 2 La 3.75-3.77
Pm3 0.7501 0.9516 0.1503  1 I 3.39, 6 Pm 3.73-3.78, 2 La 3.75-3.77
Pm4 0.2501 0.0484 0.3497  1 I 3.39, 6 Pm 3.73-3.78, 2 La 3.75-3.77

Properties
formation energy (no corrections) = -0.5238 eV per atom
polymorph energy (0 for the lowest one) = 0.0 meV per atom

Record 2
Below is a geometry-optimized LaPm5I12 structure, with properties calculated at the GGA-PBE level.

Unit cell a=7.3292 b=7.3339 c=16.6114 alpha=89.98 beta=89.96 gamma=60.02
Closest atoms and distances in Å follow each position.
Atoms (fractional coordinates):
La1 0.0000 0.0000 0.0000  6 I 3.23
I1 0.4996 0.3334 0.6215  3 Pm 3.17
I2 0.8331 0.6666 0.6215  3 Pm 3.17
I3 0.3396 0.6604 0.8763  2 Pm 3.18, 1 La 3.23
I4 0.6605 0.0000 0.8763  2 Pm 3.18, 1 La 3.23
I5 0.0000 0.3396 0.8763  2 Pm 3.18, 1 La 3.23
I6 0.0000 0.6604 0.1237  2 Pm 3.18, 1 La 3.23
I7 0.1669 0.3334 0.3785  3 Pm 3.17
I8 0.6604 0.3396 0.1237  2 Pm 3.18, 1 La 3.23
I9 0.8335 0.0000 0.3784  3 Pm 3.17
I10 0.3395 0.0000 0.1237  2 Pm 3.18, 1 La 3.23
I11 0.1665 0.0000 0.6216  3 Pm 3.17
I12 0.5004 0.6666 0.3785  3 Pm 3.17
Pm1 0.3334 0.3333 0.0000  6 I 3.18
Pm2 0.6667 0.6667 0.0000  6 I 3.18
Pm3 0.1665 0.6670 0.5000  6 I 3.17
Pm4 0.8335 0.3330 0.5000  6 I 3.17
Pm5 0.5000 0.0000 0.5000  6 I 3.17

Properties
formation energy (no corrections) = -1.3003 eV per atom

Record 3
Below is a geometry-optimized LaPmI structure, with properties calculated at the GGA-PBE level.

Unit cell a=3.9019 b=5.5124 c=5.5124 alpha=120.00 beta=90.00 gamma=90.00
Closest atoms and distances in Å follow each position.
Atoms (fractional coordinates):
I1 0.5015 0.3333 0.6667  3 Pm 3.18
La1 0.9989 0.0000 0.0000  6 I 3.73-3.74, 6 Pm 3.73, 2 La 3.90
Pm1 0.4996 0.6667 0.3333  3 I 3.18

Properties
formation energy (no corrections) = -0.2668 eV per atom
polymorph energy (0 for the lowest one) = 257.0 meV per atom

Record 4
Below is a geometry-optimized La2Pm2I7 structure, with properties calculated at the GGA-PBE level.

Unit cell a=8.2875 b=8.2647 c=8.2647 alpha=110.83 beta=88.96 gamma=88.96
Closest atoms and distances in Å follow each position.
Atoms (fractional coordinates):
I1 0.2781 0.9849 0.5825  1 Pm 3.08, 1 La 3.28
I2 0.0000 0.0000 0.0000  2 Pm 3.08
I3 0.7219 0.0151 0.4175  1 Pm 3.08, 1 La 3.28
I4 0.7219 0.4175 0.0151  1 Pm 3.08, 1 La 3.28
I5 0.2781 0.5825 0.9849  1 Pm 3.08, 1 La 3.28
I6 0.7668 0.6373 0.6373  2 Pm 3.17-3.19, 2 La 3.25
I7 0.2332 0.3627 0.3627  2 Pm 3.17-3.19, 2 La 3.25
Pm1 0.8561 0.3065 0.3065  5 I 3.08-3.19
Pm2 0.1439 0.6935 0.6935  5 I 3.08-3.19
La1 0.5000 0.3566 0.6434  6 I 3.25-3.49
La2 0.5000 0.6434 0.3566  6 I 3.25-3.49

Properties
formation energy (no corrections) = -1.0770 eV per atom

How do the records compare in uncorrected energy? In the order shown, they have -4.267 -3.927 -4.010 -3.823 eV/atom.
How do the records compare in DOS(E_F)? In the order shown, they have 10.77 11.37 3.60 7.13 states/eV per cell.
How do the records compare in V? In the order shown, they have 444 773 103 529 Å³ per cell.